A relaxed La12Tm7Sc crystal, computed with GGA-PBE.

Output
**ΔH_f (0 K)**: 16.0 kJ/mol of atoms
**Calculated total energy**: -0.172 Ha/atom

Geometry as CIF:
```
data_La12Tm7Sc
_space_group_name_H-M_alt 'R -3'
_space_group_IT_number 148
_space_group_name_Hall '-R 3'
_cell_length_a 19.4785
_cell_length_b 19.4785
_cell_length_c 6.3166
_cell_angle_alpha 90.00
_cell_angle_beta 90.00
_cell_angle_gamma 120.00
loop_
_atom_site_label
_atom_site_fract_x
_atom_site_fract_y
_atom_site_fract_z
_atom_site_occupancy
La1 0.9999 0.4086 0.0011 1
La2 0.0985 0.5494 0.4780 1
Tm1 0.0000 0.0000 0.0000 1
Tm2 0.0805 0.9195 0.3093 1
Sc1 0.0000 0.0000 0.5000 1
```